[1]
# Hf2Bi2Pt

A relaxed Hf2Bi2Pt crystal (PBE, the Open Quantum Materials Database).

Properties
E_tot: -6.157 eV/atom
M_tot: 0.00 μB per formula unit
crystal system: tetragonal

Cell lengths 4.6676, 4.6676, 12.4499 Å; angles 90.00, 90.00, 90.00 degrees
With the nearest neighbours (Å) after each atom.
Space group I4/mmm (No. 139)
Symmetry-distinct sites (fractional):
1 Hf 0.0000 0.5000 0.2500 [4 per cell]  4 Bi 2.88
2 Bi 0.0000 0.0000 0.1142 [4 per cell]  1 Bi 2.84, 4 Hf 2.88
3 Pt 0.0000 0.0000 0.5000 [2 per cell]  8 Bi 3.59, 8 Hf 3.89

=====

[2]
# Dy2ErCd3AgAu2

A relaxed Dy2ErCd3AgAu2 crystal (PBE, the Open Quantum Materials Database).

Properties
M_tot: 0.02 μB per formula unit
crystal system: orthorhombic
formation energy from the elements: -580 meV/atom

Cell lengths 3.8270, 13.6024, 7.8576 Å; angles 90.00, 90.00, 90.00 degrees
With the nearest neighbours (Å) after each atom.
Space group Amm2 (No. 38)
Symmetry-distinct sites (fractional):
1 Dy 0.0000 0.2042 0.0000 [4 per cell]  4 Au 3.05, 1 Ag 3.21, 6 Cd 3.21-3.41
2 Er 0.0000 0.0000 0.6128 [2 per cell]  4 Au 3.05, 1 Ag 3.21, 6 Cd 3.21-3.40
3 Cd 0.5000 0.0000 0.9414 [2 per cell]  2 Ag 2.82, 2 Au 2.93
4 Cd 0.5000 0.1313 0.3357 [4 per cell]  2 Ag 2.81, 2 Au 2.93-2.94
5 Ag 0.0000 0.0000 0.2044 [2 per cell]  6 Cd 2.81-2.82
6 Au 0.5000 0.1665 0.7042 [4 per cell]  3 Cd 2.93-2.94, 2 Er 3.05, 4 Dy 3.05

=====

[3]
# NaGaBAu

A relaxed NaGaBAu crystal (PBE, the Open Quantum Materials Database).

Properties
E_tot: -2.985 eV/atom
crystal system: cubic

Cell lengths 6.2646, 6.2646, 6.2646 Å; angles 90.00, 90.00, 90.00 degrees
With the nearest neighbours (Å) after each atom.
Space group F-43m (No. 216)
Symmetry-distinct sites (fractional):
1 Na 0.0000 0.0000 0.0000 [4 per cell]  4 Ga 2.71, 4 B 2.71
2 Ga 0.2500 0.2500 0.2500 [4 per cell]  4 Na 2.71, 4 Au 2.71
3 B 0.2500 0.2500 0.7500 [4 per cell]  4 Na 2.71, 4 Au 2.71
4 Au 0.0000 0.0000 0.5000 [4 per cell]  4 B 2.71, 4 Ga 2.71

=====

[4]
# Pr2P3H5O10

A relaxed Pr2P3H5O10 crystal (PBE, the Open Quantum Materials Database).

Properties
E_tot: -6.690 eV/atom
M_tot: 0.00 μB per formula unit
crystal system: monoclinic

Cell lengths 9.5147, 7.9082, 13.4841 Å; angles 90.00, 113.12, 90.00 degrees
With the nearest neighbours (Å) after each atom.
Space group P2_1/c (No. 14)
Symmetry-distinct sites (fractional):
1 Pr 0.0921 0.2158 0.4634 [4 per cell]  8 O 2.39-2.65
2 Pr 0.3161 0.0802 0.2675 [4 per cell]  8 O 2.35-2.61
3 P 0.0475 0.6214 0.3258 [4 per cell]  1 H 1.40, 3 O 1.53-1.55
4 P 0.2676 0.6980 0.0971 [4 per cell]  1 H 1.41, 3 O 1.52-1.55
5 P 0.4502 0.2447 0.0532 [4 per cell]  1 H 1.40, 3 O 1.51-1.55
6 H 0.1454 0.7456 0.8269 [4 per cell]  1 P 1.40
7 H 0.2797 0.0663 0.8306 [4 per cell]  1 O 1.00
8 H 0.3066 0.7243 0.5177 [4 per cell]  1 P 1.41
9 H 0.3650 0.0257 0.7502 [4 per cell]  1 O 1.00
10 H 0.4978 0.6044 0.4858 [4 per cell]  1 P 1.40
11 O 0.0578 0.1763 0.1178 [4 per cell]  1 P 1.54
12 O 0.0593 0.0843 0.2927 [4 per cell]  1 P 1.55
13 O 0.1433 0.5634 0.0417 [4 per cell]  1 P 1.55
14 O 0.1474 0.0301 0.8814 [4 per cell]  1 P 1.53, 1 H 1.68
15 O 0.1891 0.6672 0.6411 [4 per cell]  1 P 1.55
16 O 0.3400 0.1802 0.1045 [4 per cell]  1 P 1.55
17 O 0.3467 0.1512 0.4541 [4 per cell]  1 P 1.55
18 O 0.3490 0.1134 0.7980 [4 per cell]  2 H 1.00
19 O 0.4090 0.6664 0.8690 [4 per cell]  1 P 1.51
20 O 0.4127 0.6191 0.1791 [4 per cell]  1 P 1.52, 1 H 1.67

=====

[5]
# Na5IrO6

A relaxed Na5IrO6 crystal (PBE, the Open Quantum Materials Database).

Properties
E_tot: -5.036 eV/atom
M_tot: 2.00 μB per formula unit
crystal system: monoclinic

Cell lengths 5.6613, 9.7074, 5.5717 Å; angles 90.00, 110.84, 90.00 degrees
With the nearest neighbours (Å) after each atom.
Space group C2/m (No. 12)
Symmetry-distinct sites (fractional):
1 Na 0.0000 0.0000 0.0000 [2 per cell]  4 O 2.27
2 Na 0.0000 0.1669 0.5000 [4 per cell]  6 O 2.31-2.36
3 Na 0.0000 0.3259 0.0000 [4 per cell]  6 O 2.31-2.54
4 Ir 0.0000 0.5000 0.5000 [2 per cell]  6 O 1.92-1.95
5 O 0.2066 0.5000 0.2907 [4 per cell]  1 Ir 1.92
6 O 0.2141 0.3581 0.7196 [8 per cell]  1 Ir 1.95

=====

[6]
# NaSmTmTe3

A relaxed NaSmTmTe3 crystal (PBE, the Open Quantum Materials Database).

Properties
E_tot: -4.426 eV/atom
M_tot: 0.92 μB per formula unit
crystal system: monoclinic

Cell lengths 4.6129, 11.9342, 7.8305 Å; angles 90.00, 105.85, 90.00 degrees
With the nearest neighbours (Å) after each atom.
Space group P2_1/m (No. 11)
Symmetry-distinct sites (fractional):
1 Na 0.2282 0.2500 0.0200 [2 per cell]  6 Te 3.36-3.74
2 Sm 0.5000 0.0000 0.5000 [2 per cell]  6 Te 3.20-3.32
3 Tm 0.0310 0.7500 0.5442 [2 per cell]  4 Te 2.89-2.92
4 Te 0.1294 0.5581 0.7789 [4 per cell]  1 Tm 2.89, 2 Sm 3.20
5 Te 0.4208 0.7500 0.3062 [2 per cell]  2 Tm 2.92

=====

[7]
# CuTcSbW

A relaxed CuTcSbW crystal (PBE, the Open Quantum Materials Database).

Properties
E_tot: -7.362 eV/atom
M_tot: 0.12 μB per formula unit
crystal system: cubic

Cell lengths 6.3382, 6.3382, 6.3382 Å; angles 90.00, 90.00, 90.00 degrees
With the nearest neighbours (Å) after each atom.
Space group F-43m (No. 216)
Symmetry-distinct sites (fractional):
1 Cu 0.0000 0.0000 0.0000 [4 per cell]  4 Sb 2.74, 4 W 2.74
2 Tc 0.0000 0.0000 0.5000 [4 per cell]  4 W 2.74, 4 Sb 2.74
3 Sb 0.2500 0.2500 0.7500 [4 per cell]  4 Tc 2.74, 4 Cu 2.74
4 W 0.2500 0.2500 0.2500 [4 per cell]  4 Cu 2.74, 4 Tc 2.74

=====

[8]
# Tb2Te

A relaxed Tb2Te crystal (PBE, the Open Quantum Materials Database).

Properties
E_tot: -4.282 eV/atom
M_tot: 0.01 μB per formula unit
crystal system: cubic

Cell lengths 8.9345, 8.9345, 8.9345 Å; angles 90.00, 90.00, 90.00 degrees
With the nearest neighbours (Å) after each atom.
Space group Fd-3m (No. 227, origin choice 2)
Symmetry-distinct sites (fractional):
1 Tb 0.0000 0.0000 0.0000 [16 per cell]  6 Tb 3.16
2 Te 0.1250 0.1250 0.6250 [8 per cell]  12 Tb 3.70, 4 Te 3.87

=====

[9]
# NiGeBi

A relaxed NiGeBi crystal (PBE, the Open Quantum Materials Database).

Properties
E_tot: -4.706 eV/atom
M_tot: 0.00 μB per formula unit
crystal system: cubic

Cell lengths 6.2565, 6.2565, 6.2565 Å; angles 90.00, 90.00, 90.00 degrees
With the nearest neighbours (Å) after each atom.
Space group F-43m (No. 216)
Symmetry-distinct sites (fractional):
1 Ni 0.0000 0.0000 0.0000 [4 per cell]  4 Ge 2.71, 4 Bi 2.71
2 Ge 0.2500 0.2500 0.2500 [4 per cell]  4 Ni 2.71
3 Bi 0.2500 0.2500 0.7500 [4 per cell]  4 Ni 2.71

=====

[10]
# TbZrPb

A relaxed TbZrPb crystal (PBE, the Open Quantum Materials Database).

Properties
E_tot: -6.032 eV/atom
M_tot: 0.01 μB per formula unit
crystal system: tetragonal

Cell lengths 4.4099, 4.4099, 8.3589 Å; angles 90.00, 90.00, 90.00 degrees
With the nearest neighbours (Å) after each atom.
Space group P4/nmm (No. 129, origin choice 2)
Symmetry-distinct sites (fractional):
1 Tb 0.2500 0.2500 0.1628 [2 per cell]  5 Pb 3.17-3.27
2 Zr 0.2500 0.7500 0.5000 [2 per cell]  4 Zr 3.12, 4 Pb 3.17
3 Pb 0.2500 0.2500 0.7718 [2 per cell]  5 Tb 3.17-3.27, 4 Zr 3.17

=====

[11]
# CdIn2Au

A relaxed CdIn2Au crystal (PBE, the Open Quantum Materials Database).

Properties
E_tot: -2.401 eV/atom
crystal system: cubic

Cell lengths 7.2109, 7.2109, 7.2109 Å; angles 90.00, 90.00, 90.00 degrees
With the nearest neighbours (Å) after each atom.
Space group F-43m (No. 216)
Symmetry-distinct sites (fractional):
1 Cd 0.0000 0.0000 0.0000 [4 per cell]  4 In 3.12, 4 Au 3.12
2 In 0.0000 0.0000 0.5000 [4 per cell]  4 Au 3.12, 4 In 3.12
3 In 0.2500 0.2500 0.2500 [4 per cell]  4 Cd 3.12, 4 In 3.12
4 Au 0.2500 0.2500 0.7500 [4 per cell]  4 Cd 3.12, 4 In 3.12

=====

[12]
# Ho3Mg3AlCd2

A relaxed Ho3Mg3AlCd2 crystal (PBE, the Open Quantum Materials Database).

Properties
E_tot: -2.896 eV/atom
M_tot: 0.01 μB per formula unit
crystal system: hexagonal

Cell lengths 7.4087, 7.4087, 4.5888 Å; angles 90.00, 90.00, 120.00 degrees
With the nearest neighbours (Å) after each atom.
Space group P-62m (No. 189)
Symmetry-distinct sites (fractional):
1 Ho 0.0000 0.4208 0.0000 [3 per cell]  1 Al 3.12, 4 Cd 3.19, 2 Mg 3.41
2 Mg 0.0000 0.7615 0.5000 [3 per cell]  2 Cd 2.89, 2 Al 2.90, 2 Mg 3.06
3 Al 0.0000 0.0000 0.0000 [1 per cell]  6 Mg 2.90, 3 Ho 3.12
4 Cd 0.3333 0.6667 0.5000 [2 per cell]  3 Mg 2.89, 6 Ho 3.19

=====

[13]
# CsNaHo

A relaxed CsNaHo crystal (PBE, the Open Quantum Materials Database).

Properties
E_tot: -1.366 eV/atom
M_tot: 0.71 μB per formula unit
crystal system: cubic

Cell lengths 8.7669, 8.7669, 8.7669 Å; angles 90.00, 90.00, 90.00 degrees
With the nearest neighbours (Å) after each atom.
Space group F-43m (No. 216)
Symmetry-distinct sites (fractional):
1 Cs 0.0000 0.0000 0.0000 [4 per cell]  4 Na 3.80
2 Na 0.2500 0.2500 0.2500 [4 per cell]  4 Ho 3.80, 4 Cs 3.80
3 Ho 0.0000 0.0000 0.5000 [4 per cell]  4 Na 3.80

=====

[14]
# ZnPIrO

A relaxed ZnPIrO crystal (PBE, the Open Quantum Materials Database).

Properties
E_tot: -5.897 eV/atom
M_tot: 0.00 μB per formula unit
crystal system: tetragonal

Cell lengths 3.9211, 3.9211, 8.5681 Å; angles 90.00, 90.00, 90.00 degrees
With the nearest neighbours (Å) after each atom.
Space group P4/nmm (No. 129, origin choice 2)
Symmetry-distinct sites (fractional):
1 Zn 0.2500 0.2500 0.0591 [2 per cell]  4 O 2.02
2 P 0.2500 0.2500 0.3505 [2 per cell]  4 Ir 2.34, 1 Zn 2.50
3 Ir 0.2500 0.7500 0.5000 [2 per cell]  4 P 2.34
4 O 0.2500 0.7500 0.0000 [2 per cell]  4 Zn 2.02

=====

[15]
# LuScI2O2

A relaxed LuScI2O2 crystal (PBE, the Open Quantum Materials Database).

Properties
E_tot: -6.605 eV/atom
M_tot: 0.00 μB per formula unit
crystal system: monoclinic

Cell lengths 19.6251, 3.9152, 7.3752 Å; angles 90.00, 92.10, 90.00 degrees
With the nearest neighbours (Å) after each atom.
Space group C2/m (No. 12)
Symmetry-distinct sites (fractional):
1 Lu 0.1953 0.0000 0.1221 [4 per cell]  4 O 2.18-2.20
2 Sc 0.2032 0.0000 0.6197 [4 per cell]  4 O 2.10-2.12
3 I 0.0823 0.0000 0.8347 [4 per cell]  1 Sc 2.90, 1 Lu 3.01
4 I 0.1011 0.5000 0.3535 [4 per cell]  2 Lu 3.22, 4 O 3.36-3.61, 2 Sc 3.38
5 O 0.2443 0.5000 0.6237 [4 per cell]  3 Sc 2.10-2.12, 1 Lu 2.18
6 O 0.2461 0.5000 0.1250 [4 per cell]  1 Sc 2.10, 3 Lu 2.19-2.20

=====

[16]
# HfFeCuB

A relaxed HfFeCuB crystal (PBE, the Open Quantum Materials Database).

Properties
E_tot: -6.828 eV/atom
M_tot: 1.94 μB per formula unit
crystal system: cubic

Cell lengths 5.8893, 5.8893, 5.8893 Å; angles 90.00, 90.00, 90.00 degrees
With the nearest neighbours (Å) after each atom.
Space group F-43m (No. 216)
Symmetry-distinct sites (fractional):
1 Hf 0.0000 0.0000 0.0000 [4 per cell]  4 Fe 2.55, 4 B 2.55
2 Fe 0.2500 0.2500 0.7500 [4 per cell]  4 Hf 2.55, 4 Cu 2.55
3 Cu 0.0000 0.0000 0.5000 [4 per cell]  4 Fe 2.55, 4 B 2.55
4 B 0.2500 0.2500 0.2500 [4 per cell]  4 Hf 2.55, 4 Cu 2.55

=====

[17]
# PmHoTm

A relaxed PmHoTm crystal (PBE, the Open Quantum Materials Database).

Properties
M_tot: 0.01 μB per formula unit
crystal system: cubic
formation energy from the elements: 711 meV/atom

Cell lengths 7.6464, 7.6464, 7.6464 Å; angles 90.00, 90.00, 90.00 degrees
With the nearest neighbours (Å) after each atom.
Space group F-43m (No. 216)
Symmetry-distinct sites (fractional):
1 Pm 0.0000 0.0000 0.0000 [4 per cell]  4 Tm 3.31
2 Ho 0.0000 0.0000 0.5000 [4 per cell]  4 Tm 3.31
3 Tm 0.2500 0.2500 0.7500 [4 per cell]  4 Ho 3.31, 4 Pm 3.31

=====

[18]
# AlCdH6Os

A relaxed AlCdH6Os crystal (PBE, the Open Quantum Materials Database).

Properties
E_tot: -3.082 eV/atom
M_tot: 0.00 μB per formula unit
crystal system: cubic

Cell lengths 6.4808, 6.4808, 6.4808 Å; angles 90.00, 90.00, 90.00 degrees
With the nearest neighbours (Å) after each atom.
Space group F-43m (No. 216)
Symmetry-distinct sites (fractional):
1 Al 0.0000 0.0000 0.0000 [4 per cell]  12 H 2.33
2 Cd 0.2500 0.2500 0.7500 [4 per cell]  6 H 2.04
3 H 0.0645 0.2500 0.2500 [24 per cell]  4 H 1.70
4 Os 0.0000 0.0000 0.5000 [4 per cell]  12 H 2.33

=====

[19]
# CoPdPt

A relaxed CoPdPt crystal (PBE, the Open Quantum Materials Database).

Properties
M_tot: 2.95 μB per formula unit
crystal system: cubic
formation energy from the elements: 260 meV/atom

Cell lengths 5.7259, 5.7259, 5.7259 Å; angles 90.00, 90.00, 90.00 degrees
With the nearest neighbours (Å) after each atom.
Space group F-43m (No. 216)
Symmetry-distinct sites (fractional):
1 Co 0.0000 0.0000 0.0000 [4 per cell]  4 Pt 2.48, 4 Pd 2.48
2 Pd 0.2500 0.2500 0.7500 [4 per cell]  4 Co 2.48
3 Pt 0.2500 0.2500 0.2500 [4 per cell]  4 Co 2.48

=====

[20]
# YHfZr2

A relaxed YHfZr2 crystal (PBE, the Open Quantum Materials Database).

Properties
M_tot: 0.01 μB per formula unit
crystal system: cubic
formation energy from the elements: 239 meV/atom

Cell lengths 7.3065, 7.3065, 7.3065 Å; angles 90.00, 90.00, 90.00 degrees
With the nearest neighbours (Å) after each atom.
Space group F-43m (No. 216)
Symmetry-distinct sites (fractional):
1 Y 0.0000 0.0000 0.0000 [4 per cell]  4 Zr 3.16, 4 Hf 3.16
2 Hf 0.2500 0.2500 0.2500 [4 per cell]  4 Zr 3.16, 4 Y 3.16
3 Zr 0.0000 0.0000 0.5000 [4 per cell]  4 Zr 3.16, 4 Hf 3.16
4 Zr 0.2500 0.2500 0.7500 [4 per cell]  4 Zr 3.16, 4 Y 3.16

=====

[21]
# YHo2In3PdPt2

A relaxed YHo2In3PdPt2 crystal (PBE, the Open Quantum Materials Database).

Properties
E_tot: -5.530 eV/atom
M_tot: 0.02 μB per formula unit
crystal system: orthorhombic

Cell lengths 3.8172, 13.3739, 7.7002 Å; angles 90.00, 90.00, 90.00 degrees
With the nearest neighbours (Å) after each atom.
Space group Amm2 (No. 38)
Symmetry-distinct sites (fractional):
1 Y 0.0000 0.0000 0.0000 [2 per cell]  4 Pt 3.04, 1 Pd 3.17, 6 In 3.18-3.35
2 Ho 0.0000 0.2051 0.3854 [4 per cell]  4 Pt 3.00, 1 Pd 3.16, 2 In 3.19
3 In 0.5000 0.0000 0.3299 [2 per cell]  2 Pd 2.75, 2 Pt 2.91
4 In 0.5000 0.1289 0.7204 [4 per cell]  2 Pd 2.77, 2 Pt 2.88-2.91
5 Pd 0.0000 0.0000 0.5878 [2 per cell]  6 In 2.75-2.77
6 Pt 0.5000 0.1687 0.0916 [4 per cell]  3 In 2.88-2.91, 4 Ho 3.00, 2 Y 3.04

=====

[22]
# NaCoAuSe2S

A relaxed NaCoAuSe2S crystal (PBE, the Open Quantum Materials Database).

Properties
E_tot: -4.005 eV/atom
M_tot: 0.00 μB per formula unit
crystal system: orthorhombic

Cell lengths 3.5205, 14.7980, 9.6581 Å; angles 90.00, 90.00, 90.00 degrees
With the nearest neighbours (Å) after each atom.
Space group Cmcm (No. 63)
Symmetry-distinct sites (fractional):
1 Na 0.0000 0.2173 0.2500 [4 per cell]  2 Se 2.89, 2 Au 2.98, 2 S 3.14
2 Co 0.0000 0.5000 0.0000 [4 per cell]  4 Se 2.40, 2 S 2.49
3 Au 0.0000 0.1205 0.7500 [4 per cell]  2 Se 2.42
4 Se 0.0000 0.1106 0.9999 [8 per cell]  2 Co 2.40, 1 Au 2.42
5 S 0.0000 0.4584 0.7500 [4 per cell]  2 Co 2.49

=====

[23]
# PmGdY

A relaxed PmGdY crystal (PBE, the Open Quantum Materials Database).

Properties
M_tot: 0.03 μB per formula unit
crystal system: cubic
formation energy from the elements: 741 meV/atom

Cell lengths 7.7534, 7.7534, 7.7534 Å; angles 90.00, 90.00, 90.00 degrees
With the nearest neighbours (Å) after each atom.
Space group F-43m (No. 216)
Symmetry-distinct sites (fractional):
1 Pm 0.0000 0.0000 0.0000 [4 per cell]  4 Y 3.36
2 Gd 0.0000 0.0000 0.5000 [4 per cell]  4 Y 3.36
3 Y 0.2500 0.2500 0.7500 [4 per cell]  4 Gd 3.36, 4 Pm 3.36